1.
A relaxed Ta2PtRh2 crystal, computed with PBE.

## Properties
- Total energy: -93.6 eV per cell
- SG: P4/mbm, No. 127
- Calculated formation energy: -2.345 eV/f.u.
- Relative energy among the computed polymorphs: 75 meV per atom

Cell lengths 7.3185, 7.3185, 3.0565 Å; angles 90.00, 90.00, 90.00 degrees
Sites, in units of the cell vectors:
Ta  0.1707  0.3293  0.0000
Ta  0.3293  0.8293  0.0000
Ta  0.6707  0.1707  0.0000
Ta  0.8293  0.6707  0.0000
Pt  0.0000  0.0000  0.5000
Pt  0.5000  0.5000  0.5000
Rh  0.1315  0.6315  0.5000
Rh  0.3685  0.1315  0.5000
Rh  0.6315  0.8685  0.5000
Rh  0.8685  0.3685  0.5000

---

2.
A relaxed Zn2ReCl crystal, computed with PBE.

## Properties
- Total energy: -12.5 eV per cell
- SG: Fm-3m, No. 225
- Relative energy among the computed polymorphs: 917 meV per atom

Cell lengths 4.6244, 4.6244, 4.6244 Å; angles 60.00, 60.00, 60.00 degrees
Sites, in units of the cell vectors:
Zn  0.2500  0.2500  0.2500
Zn  0.7500  0.7500  0.7500
Re  0.0000  0.0000  0.0000
Cl  0.5000  0.5000  0.5000

---

3.
A relaxed BaHf crystal, computed with PBE.

## Properties
- Total energy: -37.4 eV per cell
- SG: P4_2/mnm, No. 136
- Calculated formation energy: 2.527 eV/f.u.
- Relative energy among the computed polymorphs: 705 meV per atom

Cell lengths 6.7861, 6.7861, 6.9514 Å; angles 90.00, 90.00, 90.00 degrees
Sites, in units of the cell vectors:
Ba  0.1750  0.1750  0.0000
Ba  0.3250  0.6750  0.5000
Ba  0.6750  0.3250  0.5000
Ba  0.8250  0.8250  0.0000
Hf  0.1402  0.1402  0.5000
Hf  0.3598  0.6402  0.0000
Hf  0.6402  0.3598  0.0000
Hf  0.8598  0.8598  0.5000

---

4.
A relaxed MnTePRu2 crystal, computed with PBE.

## Properties
- Total energy: -25.5 eV per cell
- SG: P4/mmm, No. 123

Cell lengths 4.7998, 4.7998, 4.9342 Å; angles 90.00, 90.00, 90.00 degrees
Sites, in units of the cell vectors:
Mn  0.0000  0.0000  0.0000
Te  0.5000  0.5000  0.5000
P  0.5000  0.5000  0.0000
Ru  0.0000  0.5000  0.5000
Ru  0.5000  0.0000  0.5000

---

5.
A relaxed K2NaInAu6 crystal, computed with PBE.

## Properties
- Total energy: -25.1 eV per cell
- SG: Fm-3m, No. 225
- Calculated formation energy: 0.772 eV/f.u.

Cell lengths 7.5678, 7.5678, 7.5678 Å; angles 60.00, 60.00, 60.00 degrees
Sites, in units of the cell vectors:
K  0.2500  0.2500  0.2500
K  0.7500  0.7500  0.7500
Na  0.0000  0.0000  0.0000
In  0.5000  0.5000  0.5000
Au  0.2510  0.2510  0.7490
Au  0.2510  0.7490  0.2510
Au  0.2510  0.7490  0.7490
Au  0.7490  0.2510  0.2510
Au  0.7490  0.2510  0.7490
Au  0.7490  0.7490  0.2510

---

6.
A relaxed Ca8SiPt2 crystal, computed with PBE.

## Properties
- Total energy: -38.8 eV per cell
- SG: Cm, No. 8

Cell lengths 7.9591, 7.9591, 5.8761 Å; angles 98.86, 98.86, 111.60 degrees
Sites, in units of the cell vectors:
Ca  0.0000  0.0000  0.0000
Ca  0.0331  0.2991  0.5888
Ca  0.1327  0.5902  0.1900
Ca  0.2991  0.0331  0.5888
Ca  0.4330  0.6980  0.7666
Ca  0.5902  0.1327  0.1900
Ca  0.6980  0.4330  0.7666
Ca  0.7320  0.7320  0.3864
Si  0.3639  0.3639  0.3208
Pt  0.0552  0.6838  0.6958
Pt  0.6838  0.0552  0.6958

---

7.
A relaxed TcTe2P crystal, computed with PBE.

## Properties
- Total energy: -19.9 eV per cell
- SG: R-3m, No. 166

Cell lengths 9.1518, 9.1518, 9.1518 Å; angles 22.72, 22.72, 22.72 degrees
Sites, in units of the cell vectors:
Tc  0.0000  0.0000  0.0000
Te  0.3981  0.3981  0.3981
Te  0.6019  0.6019  0.6019
P  0.5000  0.5000  0.5000

---

8.
A relaxed KZrPb2 crystal, computed with PBE.

## Properties
- Total energy: -16.2 eV per cell
- SG: Pmmm, No. 47
- Calculated formation energy: 0.869 eV/f.u.
- Relative energy among the computed polymorphs: 369 meV per atom

Cell lengths 3.2935, 5.7084, 6.3008 Å; angles 90.00, 90.00, 90.00 degrees
Sites, in units of the cell vectors:
K  0.0000  0.0000  0.0000
Zr  0.5000  0.5000  0.5000
Pb  0.0000  0.0000  0.5000
Pb  0.5000  0.5000  0.0000

---

9.
A relaxed PrBRh4 crystal, computed with PBE.

## Properties
- Total energy: -81.7 eV per cell
- SG: P4_2/nmc, No. 137
- Calculated formation energy: -0.002 eV/f.u.

Cell lengths 5.0699, 5.0699, 8.4599 Å; angles 90.00, 90.00, 90.00 degrees
Sites, in units of the cell vectors:
Pr  0.2500  0.7500  0.2500
Pr  0.7500  0.2500  0.7500
B  0.2500  0.7500  0.7500
B  0.7500  0.2500  0.2500
Rh  0.0040  0.2500  0.0599
Rh  0.2500  0.0040  0.5599
Rh  0.2500  0.4960  0.5599
Rh  0.4960  0.2500  0.0599
Rh  0.5040  0.7500  0.9401
Rh  0.7500  0.5040  0.4401
Rh  0.7500  0.9960  0.4401
Rh  0.9960  0.7500  0.9401

---

10.
A relaxed Sb2TeW crystal, computed with PBE.

## Properties
- Total energy: -20.7 eV per cell
- SG: Cmmm, No. 65

Cell lengths 5.2471, 5.2471, 3.4537 Å; angles 90.00, 90.00, 106.45 degrees
Sites, in units of the cell vectors:
Sb  0.0000  0.5000  0.0000
Sb  0.5000  0.0000  0.0000
Te  0.0000  0.0000  0.5000
W  0.5000  0.5000  0.5000

---

11.
A relaxed PaP2S8 crystal, computed with PBE.

## Properties
- Total energy: -58.3 eV per cell
- SG: C2/m, No. 12

Cell lengths 7.4936, 7.4936, 6.0082 Å; angles 99.63, 99.63, 77.04 degrees
Sites, in units of the cell vectors:
Pa  0.0000  0.0000  0.0000
P  0.1966  0.1966  0.6825
P  0.8034  0.8034  0.3175
S  0.0697  0.7131  0.2308
S  0.1941  0.1941  0.3369
S  0.2869  0.9303  0.7692
S  0.3637  0.3637  0.8391
S  0.6363  0.6363  0.1609
S  0.7131  0.0697  0.2308
S  0.8059  0.8059  0.6631
S  0.9303  0.2869  0.7692

---

12.
A relaxed SiAsSeBr2 crystal, computed with PBE.

## Properties
- Total energy: -14.3 eV per cell
- SG: P4/mmm, No. 123
- Relative energy among the computed polymorphs: 106 meV per atom

Cell lengths 5.1660, 5.1660, 5.2880 Å; angles 90.00, 90.00, 90.00 degrees
Sites, in units of the cell vectors:
Si  0.0000  0.0000  0.0000
As  0.5000  0.5000  0.5000
Se  0.5000  0.5000  0.0000
Br  0.0000  0.5000  0.5000
Br  0.5000  0.0000  0.5000

---

> Number 7 is which compound?

TcTe2P

---

> Which of these has the lowest total energy?

Ta2PtRh2

---

> Which formula does entry 7 have?

TcTe2P